Density functional theory data (PBE) for a relaxed HfPaGa crystal.

Values from the calculation:
Uncorrected energy = -87.15 eV/cell
Magnetization = 0.60 μB/f.u.

abc: 6.624 6.624 6.624
angles: 90.00 90.00 90.00
Space group F-43m (No. 216)
Symmetry-distinct sites (fractional):
Hf 0.000 0.000 0.000
Pa 0.000 0.000 0.500
Ga 0.250 0.250 0.250